# VFe2Tc PBE relaxed
data_VFe2Tc
_chemical_formula_sum 'V4 Fe8 Tc4'
_space_group_name_H-M_alt 'F m -3 m'
_space_group_IT_number 225
_space_group_name_Hall '-F 4 2 3'
_cell_length_a 5.894
_cell_length_b 5.894
_cell_length_c 5.894
_cell_angle_alpha 90.00
_cell_angle_beta 90.00
_cell_angle_gamma 90.00
loop_
_atom_site_label
_atom_site_fract_x
_atom_site_fract_y
_atom_site_fract_z
V1 0.000 0.000 0.000
Fe1 0.250 0.250 0.250
Tc1 0.000 0.000 0.500
# E_tot, hartree per atom: -0.334
# ΔH_f (0 K), meV/atom: 15
# Density, Mg/m³: 8.5


# ReIr3F PBE relaxed
data_ReIr3F
_chemical_formula_sum 'Re1 Ir3 F1'
_space_group_name_H-M_alt 'P m -3 m'
_space_group_IT_number 221
_space_group_name_Hall '-P 4 2 3'
_cell_length_a 4.199
_cell_length_b 4.199
_cell_length_c 4.199
_cell_angle_alpha 90.00
_cell_angle_beta 90.00
_cell_angle_gamma 90.00
loop_
_atom_site_label
_atom_site_fract_x
_atom_site_fract_y
_atom_site_fract_z
Re1 0.000 0.000 0.000
Ir1 0.000 0.500 0.500
F1 0.500 0.500 0.500
# E_tot, hartree per atom: -0.247
# Raw formation energy, eV/atom: 1.449
# Density, Mg/m³: 17.5


# AlNiS2N PBE relaxed
data_AlNiS2N
_chemical_formula_sum 'Al1 Ni1 S2 N1'
_space_group_name_H-M_alt 'P 4/m m m'
_space_group_IT_number 123
_space_group_name_Hall '-P 4 2'
_cell_length_a 4.691
_cell_length_b 4.691
_cell_length_c 3.555
_cell_angle_alpha 90.00
_cell_angle_beta 90.00
_cell_angle_gamma 90.00
loop_
_atom_site_label
_atom_site_fract_x
_atom_site_fract_y
_atom_site_fract_z
Al1 0.000 0.000 0.000
Ni1 0.500 0.500 0.500
S1 0.000 0.500 0.000
N1 0.000 0.000 0.500
# E_tot, hartree per atom: -0.169
# Raw formation energy, eV/atom: 0.625
# Density, Mg/m³: 3.5


# Hf3SbH3 PBE relaxed
data_Hf3SbH3
_chemical_formula_sum 'Hf6 Sb2 H6'
_space_group_name_H-M_alt 'P m -3 n'
_space_group_IT_number 223
_space_group_name_Hall '-P 4n 2 3'
_cell_length_a 5.692
_cell_length_b 5.692
_cell_length_c 5.692
_cell_angle_alpha 90.00
_cell_angle_beta 90.00
_cell_angle_gamma 90.00
loop_
_atom_site_label
_atom_site_fract_x
_atom_site_fract_y
_atom_site_fract_z
Hf1 0.000 0.250 0.500
Sb1 0.000 0.000 0.000
H1 0.000 0.500 0.250
# E_tot, hartree per atom: -0.246
# Density, Mg/m³: 11.9


| no. | energy above the lowest structure with this stoichiometry (kJ per mole of atoms) |
| --- | --- |
| 1 | 1.80 |
| 2 | 0.00 |
| 3 | 16.22 |
| 4 | 0.00 |